A | # Er4TmNi2, optimized geometry, DFT GGA-PBE
data_Er4TmNi2
_chemical_formula_sum 'Er8 Tm2 Ni4'
_symmetry_space_group_name_H-M 'P 1 21/m 1'
_symmetry_Int_Tables_number 11
_cell_length_a 7.4664
_cell_length_b 6.2675
_cell_length_c 7.8266
_cell_angle_alpha 90.00
_cell_angle_beta 112.24
_cell_angle_gamma 90.00
loop_
_symmetry_equiv_pos_as_xyz
'x,y,z'
'-x,-y,-z'
'-x,y+1/2,-z'
'x,-y+1/2,z'
loop_
_atom_site_label
_atom_site_type_symbol
_atom_site_fract_x
_atom_site_fract_y
_atom_site_fract_z
Er1 Er 0.0265 0.2500 0.3876
Er2 Er 0.2504 0.7500 0.3424
Er3 Er 0.4081 0.0037 0.7686
Tm1 Tm 0.1523 0.2500 0.0280
Ni1 Ni 0.2527 0.7500 0.9930
Ni2 Ni 0.3823 0.2500 0.4143
# Theoretical density ... 9.4 g/cm³

B | # Er4TmNi2, optimized geometry, DFT GGA-PBE
data_Er4TmNi2
_chemical_formula_sum 'Er12 Tm3 Ni6'
_symmetry_space_group_name_H-M 'R -3 m'
_symmetry_Int_Tables_number 166
_symmetry_space_group_name_Hall '-R 3 2"'
_cell_length_a 3.8738
_cell_length_b 3.8738
_cell_length_c 42.8201
_cell_angle_alpha 90.00
_cell_angle_beta 90.00
_cell_angle_gamma 120.00
loop_
_atom_site_label
_atom_site_type_symbol
_atom_site_fract_x
_atom_site_fract_y
_atom_site_fract_z
Er1 Er 0.0000 0.0000 0.1019
Er2 Er 0.0000 0.0000 0.2998
Tm1 Tm 0.0000 0.0000 0.5000
Ni1 Ni 0.0000 0.0000 0.4008
# Theoretical density ... 8.6 g/cm³

Computed stability ranking, most favorable first: A, B

A | # Er2TmNi2, optimized geometry, DFT GGA-PBE
data_Er2TmNi2
_chemical_formula_sum 'Er4 Tm2 Ni4'
_symmetry_space_group_name_H-M 'P 4/m b m'
_symmetry_Int_Tables_number 127
_symmetry_space_group_name_Hall '-P 4 2ab'
_cell_length_a 7.3918
_cell_length_b 7.3918
_cell_length_c 3.8811
_cell_angle_alpha 90.00
_cell_angle_beta 90.00
_cell_angle_gamma 90.00
loop_
_atom_site_label
_atom_site_type_symbol
_atom_site_fract_x
_atom_site_fract_y
_atom_site_fract_z
Er1 Er 0.1650 0.3350 0.0000
Tm1 Tm 0.0000 0.0000 0.5000
Ni1 Ni 0.1257 0.6257 0.5000
# Theoretical density ... 9.7 g/cm³

B | # Er2TmNi2, optimized geometry, DFT GGA-PBE
data_Er2TmNi2
_chemical_formula_sum 'Er8 Tm4 Ni8'
_symmetry_space_group_name_H-M 'C m c 21'
_symmetry_Int_Tables_number 36
_cell_length_a 3.6741
_cell_length_b 13.0186
_cell_length_c 9.3851
_cell_angle_alpha 90.00
_cell_angle_beta 90.00
_cell_angle_gamma 90.00
loop_
_symmetry_equiv_pos_as_xyz
'x,y,z'
'-x,-y,z+1/2'
'-x,y,z'
'x,-y,z+1/2'
'x+1/2,y+1/2,z'
'-x+1/2,-y+1/2,z+1/2'
'-x+1/2,y+1/2,z'
'x+1/2,-y+1/2,z+1/2'
loop_
_atom_site_label
_atom_site_type_symbol
_atom_site_fract_x
_atom_site_fract_y
_atom_site_fract_z
Er1 Er 0.0000 0.1033 0.0000
Er2 Er 0.0000 0.3236 0.2015
Tm1 Tm 0.0000 0.3931 0.8385
Ni1 Ni 0.0000 0.0255 0.7259
Ni2 Ni 0.0000 0.2384 0.4901
# Theoretical density ... 9.2 g/cm³

Computed stability ranking, most favorable first: A, B

A | # ErTm5Ni2, optimized geometry, DFT GGA-PBE
data_ErTm5Ni2
_chemical_formula_sum 'Er4 Tm20 Ni8'
_symmetry_space_group_name_H-M 'C m c m'
_symmetry_Int_Tables_number 63
_symmetry_space_group_name_Hall '-C 2c 2'
_cell_length_a 4.7708
_cell_length_b 11.7089
_cell_length_c 14.3492
_cell_angle_alpha 90.00
_cell_angle_beta 90.00
_cell_angle_gamma 90.00
loop_
_atom_site_label
_atom_site_type_symbol
_atom_site_fract_x
_atom_site_fract_y
_atom_site_fract_z
Er1 Er 0.0000 0.1340 0.2500
Tm1 Tm 0.0000 0.1544 0.0213
Tm2 Tm 0.0000 0.1637 0.7500
Tm3 Tm 0.0000 0.4598 0.1211
Ni1 Ni 0.0000 0.3162 0.6138
# Theoretical density ... 9.4 g/cm³

B | # ErTm5Ni2, optimized geometry, DFT GGA-PBE
data_ErTm5Ni2
_chemical_formula_sum 'Er2 Tm10 Ni4'
_symmetry_space_group_name_H-M 'I m m m'
_symmetry_Int_Tables_number 71
_symmetry_space_group_name_Hall '-I 2 2'
_cell_length_a 3.8101
_cell_length_b 7.1259
_cell_length_c 15.2807
_cell_angle_alpha 90.00
_cell_angle_beta 90.00
_cell_angle_gamma 90.00
loop_
_atom_site_label
_atom_site_type_symbol
_atom_site_fract_x
_atom_site_fract_y
_atom_site_fract_z
Er1 Er 0.0000 0.0000 0.0000
Tm1 Tm 0.0000 0.2528 0.3444
Tm2 Tm 0.0000 0.5000 0.0000
Ni1 Ni 0.0000 0.5000 0.1947
# Theoretical density ... 9.0 g/cm³

Computed stability ranking, most favorable first: A, B

A | # Er3TmNi2, optimized geometry, DFT GGA-PBE
data_Er3TmNi2
_chemical_formula_sum 'Er12 Tm4 Ni8'
_symmetry_space_group_name_H-M 'C 1 2/m 1'
_symmetry_Int_Tables_number 12
_cell_length_a 15.8620
_cell_length_b 4.0357
_cell_length_c 11.0572
_cell_angle_alpha 90.00
_cell_angle_beta 120.81
_cell_angle_gamma 90.00
loop_
_symmetry_equiv_pos_as_xyz
'x,y,z'
'-x,-y,-z'
'-x,y,-z'
'x,-y,z'
'x+1/2,y+1/2,z'
'-x+1/2,-y+1/2,-z'
'-x+1/2,y+1/2,-z'
'x+1/2,-y+1/2,z'
loop_
_atom_site_label
_atom_site_type_symbol
_atom_site_fract_x
_atom_site_fract_y
_atom_site_fract_z
Er1 Er 0.0611 0.0000 0.1896
Er2 Er 0.1853 0.5000 0.0592
Er3 Er 0.1892 0.0000 0.5639
Tm1 Tm 0.0634 0.5000 0.6870
Ni1 Ni 0.1238 0.5000 0.3775
Ni2 Ni 0.1261 0.0000 0.8716
# Theoretical density ... 8.6 g/cm³

B | # Er3TmNi2, optimized geometry, DFT GGA-PBE
data_Er3TmNi2
_chemical_formula_sum 'Er12 Tm4 Ni8'
_symmetry_space_group_name_H-M 'C 1 2/m 1'
_symmetry_Int_Tables_number 12
_cell_length_a 15.8998
_cell_length_b 3.8374
_cell_length_c 11.2090
_cell_angle_alpha 90.00
_cell_angle_beta 123.20
_cell_angle_gamma 90.00
loop_
_symmetry_equiv_pos_as_xyz
'x,y,z'
'-x,-y,-z'
'-x,y,-z'
'x,-y,z'
'x+1/2,y+1/2,z'
'-x+1/2,-y+1/2,-z'
'-x+1/2,y+1/2,-z'
'x+1/2,-y+1/2,z'
loop_
_atom_site_label
_atom_site_type_symbol
_atom_site_fract_x
_atom_site_fract_y
_atom_site_fract_z
Er1 Er 0.0819 0.0000 0.4404
Er2 Er 0.0822 0.0000 0.9395
Er3 Er 0.1546 0.5000 0.2455
Tm1 Tm 0.1549 0.5000 0.7459
Ni1 Ni 0.2313 0.5000 0.0514
Ni2 Ni 0.2312 0.5000 0.5515
# Theoretical density ... 9.1 g/cm³

Computed stability ranking, most favorable first: B, A